AlNi5: optimized geometry, GGA-PBEsol.

Structure (POSCAR):
```
AlNi5
1.0
-0.779 2.161 1.091
-3.738 -1.646 -2.370
-0.132 -2.648 5.152
Ni Al
5 1
Direct
0.331 0.661 0.660
0.663 0.327 0.328
0.614 0.228 0.726
0.948 0.896 0.399
0.281 0.562 0.061
0.997 0.993 0.993
```

- ΔE_f: -1.30 eV/f.u.
- V: 64.34 Å³/f.u.
- Polymorph energy (0 for the lowest one): 0.43 eV per formula unit
- D(E_F): 1.557 states/eV per atom

---

Al4Ni3: optimized geometry, GGA-PBEsol.

Structure (POSCAR):
```
Al4Ni3
1.0
-3.774 2.036 -8.797
5.257 -8.237 -0.533
-7.250 -1.170 6.469
Al Ni
32 24
Direct
0.000 0.500 0.500
0.500 0.000 0.500
0.500 0.500 0.000
0.000 0.000 0.000
0.500 0.500 0.500
0.000 0.500 0.000
0.000 0.000 0.500
0.500 0.000 0.000
0.991 0.250 0.241
0.509 0.750 0.259
0.759 0.509 0.250
0.741 0.991 0.750
0.250 0.741 0.491
0.750 0.759 0.009
0.509 0.759 0.750
0.991 0.741 0.250
0.741 0.750 0.491
0.759 0.250 0.009
0.250 0.509 0.259
0.750 0.991 0.241
0.009 0.750 0.759
0.491 0.250 0.741
0.241 0.491 0.750
0.259 0.009 0.250
0.750 0.259 0.509
0.250 0.241 0.991
0.491 0.241 0.250
0.009 0.259 0.750
0.259 0.250 0.509
0.241 0.750 0.991
0.750 0.491 0.741
0.250 0.009 0.759
0.507 0.513 0.757
0.993 0.750 0.007
0.257 0.750 0.743
0.243 0.987 0.493
0.507 0.993 0.250
0.257 0.507 0.013
0.993 0.243 0.487
0.243 0.257 0.250
0.987 0.993 0.743
0.750 0.243 0.757
0.750 0.507 0.493
0.513 0.257 0.007
0.493 0.487 0.243
0.007 0.250 0.993
0.743 0.250 0.257
0.757 0.013 0.507
0.493 0.007 0.750
0.743 0.493 0.987
0.007 0.757 0.513
0.757 0.743 0.750
0.013 0.007 0.257
0.250 0.757 0.243
0.250 0.493 0.507
0.487 0.743 0.993
```

- ΔE_f: -4.49 eV/f.u.
- V: 90.19 Å³/f.u.
- D(E_F): 0.311 states/eV per atom

---

Al3Ni: optimized geometry, GGA-PBEsol.

Structure (POSCAR):
```
Al3Ni
1.0
4.796 0.000 0.000
0.000 6.545 0.000
0.000 0.000 7.308
Al Ni
12 4
Direct
0.085 0.009 0.750
0.585 0.491 0.250
0.915 0.991 0.250
0.415 0.509 0.750
0.637 0.172 0.944
0.137 0.328 0.056
0.363 0.828 0.444
0.863 0.672 0.556
0.363 0.828 0.056
0.863 0.672 0.944
0.637 0.172 0.556
0.137 0.328 0.444
0.556 0.871 0.750
0.056 0.629 0.250
0.444 0.129 0.250
0.944 0.371 0.750
```

- ΔE_f: -1.67 eV/f.u.
- V: 57.36 Å³/f.u.
- D(E_F): 0.322 states/eV per atom

---

Al5Ni3: optimized geometry, GGA-PBEsol.

Structure (POSCAR):
```
Al5Ni3
1.0
3.807 0.000 0.000
0.000 5.179 0.020
0.000 -0.673 5.135
Al Ni
5 3
Direct
0.000 0.000 0.000
0.000 0.000 0.500
0.000 0.500 0.000
0.500 0.283 0.283
0.500 0.717 0.717
0.000 0.500 0.500
0.500 0.770 0.230
0.500 0.230 0.770
```

- ΔE_f: -3.43 eV/f.u.
- V: 101.28 Å³/f.u.
- Polymorph energy (0 for the lowest one): 0.52 eV per formula unit
- D(E_F): 0.283 states/eV per atom

---

AlNi2: optimized geometry, GGA-PBEsol.

Structure (POSCAR):
```
AlNi2
1.0
3.495 0.000 0.000
0.000 3.495 0.000
-1.748 -1.748 10.975
Al Ni
4 8
Direct
0.172 0.672 0.344
0.328 0.828 0.656
0.922 0.922 0.844
0.078 0.078 0.156
0.999 0.499 0.998
0.501 0.001 0.002
0.749 0.749 0.498
0.251 0.251 0.502
0.833 0.333 0.666
0.667 0.167 0.334
0.583 0.583 0.166
0.417 0.417 0.834
```

- ΔE_f: -1.54 eV/f.u.
- V: 33.52 Å³/f.u.
- D(E_F): 0.702 states/eV per atom

---

AlNi2: optimized geometry, GGA-PBEsol.

Structure (POSCAR):
```
AlNi2
1.0
2.593 0.000 0.000
0.000 6.723 0.000
0.000 -3.361 5.822
Ni Al
6 3
Direct
0.000 0.702 0.702
0.000 0.000 0.298
0.000 0.298 0.000
0.500 0.367 0.367
0.500 0.000 0.633
0.500 0.633 0.000
0.000 0.667 0.333
0.000 0.333 0.667
0.500 0.000 0.000
```

- ΔE_f: -1.29 eV/f.u.
- V: 33.83 Å³/f.u.
- D(E_F): 0.713 states/eV per atom

---

AlNi5: optimized geometry, GGA-PBEsol.

Structure (POSCAR):
```
AlNi5
1.0
-0.279 -1.809 2.960
-1.184 -2.771 -1.805
4.321 -3.102 -1.489
Ni Al
5 1
Direct
0.500 0.331 0.339
0.000 0.168 0.665
0.500 0.000 0.000
0.000 0.832 0.335
0.500 0.669 0.661
0.000 0.500 0.000
```

- ΔE_f: -1.73 eV/f.u.
- V: 64.01 Å³/f.u.
- Polymorph energy (0 for the lowest one): 0.00 eV per formula unit
- D(E_F): 1.235 states/eV per atom

---

Al5Ni3: optimized geometry, GGA-PBEsol.

Structure (POSCAR):
```
Al5Ni3
1.0
-1.764 4.111 2.216
-6.122 -3.160 0.990
4.982 -0.470 4.838
Al Ni
10 6
Direct
0.000 0.667 0.333
0.500 0.333 0.667
0.000 0.333 0.667
0.500 0.667 0.333
0.750 0.748 0.748
0.250 0.252 0.252
0.750 0.000 0.252
0.750 0.252 0.000
0.250 0.748 0.000
0.250 0.000 0.748
0.750 0.396 0.396
0.250 0.604 0.604
0.750 0.000 0.604
0.750 0.604 0.000
0.250 0.396 0.000
0.250 0.000 0.396
```

- ΔE_f: -3.96 eV/f.u.
- V: 104.75 Å³/f.u.
- Polymorph energy (0 for the lowest one): 0.00 eV per formula unit
- D(E_F): 0.330 states/eV per atom

---

AlNi5: optimized geometry, GGA-PBEsol.

Structure (POSCAR):
```
AlNi5
1.0
-1.822 -0.417 -1.744
-2.359 -1.565 2.838
-1.490 5.903 2.017
Ni Al
5 1
Direct
0.671 0.000 0.343
0.337 0.000 0.673
0.554 0.500 0.107
0.218 0.500 0.437
0.883 0.500 0.765
0.004 0.000 0.008
```

- ΔE_f: -1.32 eV/f.u.
- V: 64.40 Å³/f.u.
- Polymorph energy (0 for the lowest one): 0.42 eV per formula unit
- D(E_F): 1.389 states/eV per atom

---

AlNi5: optimized geometry, GGA-PBEsol.

Structure (POSCAR):
```
AlNi5
1.0
-0.723 3.950 0.227
-1.153 0.027 -4.134
-2.941 -0.713 3.044
Ni Al
5 1
Direct
0.000 0.342 0.342
0.000 0.658 0.000
0.000 0.000 0.658
0.500 0.333 0.667
0.500 0.667 0.333
0.500 0.000 0.000
```

- ΔE_f: -1.61 eV/f.u.
- V: 64.18 Å³/f.u.
- Polymorph energy (0 for the lowest one): 0.13 eV per formula unit
- D(E_F): 1.547 states/eV per atom

---

AlNi2: optimized geometry, GGA-PBEsol.

Structure (POSCAR):
```
AlNi2
1.0
3.370 0.000 0.000
0.000 3.667 0.000
-1.685 0.000 5.443
Ni Al
4 2
Direct
0.417 0.250 0.835
0.583 0.750 0.165
0.749 0.250 0.498
0.251 0.750 0.502
0.093 0.250 0.186
0.907 0.750 0.814
```

- ΔE_f: -1.46 eV/f.u.
- V: 33.64 Å³/f.u.
- D(E_F): 0.776 states/eV per atom

---

Al2NiO: optimized geometry, GGA-PBEsol.

Structure (POSCAR):
```
Al2NiO
1.0
5.077 0.027 -0.041
-2.210 4.570 0.041
2.210 1.814 4.195
Ni Al O
2 4 2
Direct
0.000 0.000 0.000
0.500 0.250 0.250
0.061 0.436 0.125
0.939 0.814 0.625
0.439 0.625 0.436
0.561 0.125 0.814
0.000 0.500 0.500
0.500 0.750 0.750
```

- Energy relative to the elements, uncorrected: -105.58 kJ per mole of atoms
- V: 48.90 Å³/f.u.
- D(E_F): 0.013 states/eV per atom